[1]
The following is a DFT calculation (GGA-PBE) of ScPt2Cl after structural relaxation.

Output
Energy relative to the lowest polymorph listed for this composition   104 meV/atom
VASP energy   -5.791 eV per atom

CIF file:
```
data_ScPt2Cl
_symmetry_space_group_name_H-M 'I m m m'
_symmetry_Int_Tables_number 71
_symmetry_space_group_name_Hall '-I 2 2'
_cell_length_a 2.994
_cell_length_b 4.599
_cell_length_c 10.152
_cell_angle_alpha 90.00
_cell_angle_beta 90.00
_cell_angle_gamma 90.00
loop_
_atom_site_label
_atom_site_type_symbol
_atom_site_fract_x
_atom_site_fract_y
_atom_site_fract_z
Sc1 Sc 0.000 0.000 0.000
Pt1 Pt 0.000 0.500 0.266
Cl1 Cl 0.000 0.000 0.500
```

---

[2]
The following is a DFT calculation (GGA-PBE) of KAl3Bi after structural relaxation.

Output
Energy relative to the lowest polymorph listed for this composition   0 meV/atom
ΔH_f (0 K)   0.72 eV/atom
VASP energy   -2.518 eV per atom

CIF file:
```
data_KAl3Bi
_symmetry_space_group_name_H-M 'P m -3 m'
_symmetry_Int_Tables_number 221
_symmetry_space_group_name_Hall '-P 4 2 3'
_cell_length_a 5.771
_cell_length_b 5.771
_cell_length_c 5.771
_cell_angle_alpha 90.00
_cell_angle_beta 90.00
_cell_angle_gamma 90.00
loop_
_atom_site_label
_atom_site_type_symbol
_atom_site_fract_x
_atom_site_fract_y
_atom_site_fract_z
K1 K 0.000 0.000 0.000
Al1 Al 0.000 0.500 0.500
Bi1 Bi 0.500 0.500 0.500
```

---

[3]
The following is a DFT calculation (GGA-PBE) of KLaBe2 after structural relaxation.

Output
Energy relative to the lowest polymorph listed for this composition   733 meV/atom
ΔH_f (0 K)   1.11 eV/atom
VASP energy   -2.256 eV per atom

CIF file:
```
data_KLaBe2
_symmetry_space_group_name_H-M 'I -4 2 d'
_symmetry_Int_Tables_number 122
_symmetry_space_group_name_Hall 'I -4 2bw'
_cell_length_a 8.226
_cell_length_b 8.226
_cell_length_c 6.793
_cell_angle_alpha 90.00
_cell_angle_beta 90.00
_cell_angle_gamma 90.00
loop_
_atom_site_label
_atom_site_type_symbol
_atom_site_fract_x
_atom_site_fract_y
_atom_site_fract_z
K1 K 0.000 0.000 0.000
La1 La 0.000 0.000 0.500
Be1 Be 0.227 0.250 0.625
```

---

[4]
The following is a DFT calculation (GGA-PBE) of K2MgAu2 after structural relaxation.

Output
Energy relative to the lowest polymorph listed for this composition   287 meV/atom
ΔH_f (0 K)   0.04 eV/atom
VASP energy   -2.025 eV per atom

CIF file:
```
data_K2MgAu2
_symmetry_space_group_name_H-M 'I 4/m m m'
_symmetry_Int_Tables_number 139
_symmetry_space_group_name_Hall '-I 4 2'
_cell_length_a 4.769
_cell_length_b 4.769
_cell_length_c 14.237
_cell_angle_alpha 90.00
_cell_angle_beta 90.00
_cell_angle_gamma 90.00
loop_
_atom_site_label
_atom_site_type_symbol
_atom_site_fract_x
_atom_site_fract_y
_atom_site_fract_z
K1 K 0.000 0.500 0.250
Mg1 Mg 0.000 0.000 0.000
Au1 Au 0.000 0.000 0.405
```

---

[5]
The following is a DFT calculation (GGA-PBE) of KLaAs2 after structural relaxation.

Output
Energy relative to the lowest polymorph listed for this composition   250 meV/atom
ΔH_f (0 K)   -0.63 eV/atom
VASP energy   -4.462 eV per atom

CIF file:
```
data_KLaAs2
_symmetry_space_group_name_H-M 'I 4/m m m'
_symmetry_Int_Tables_number 139
_symmetry_space_group_name_Hall '-I 4 2'
_cell_length_a 5.020
_cell_length_b 5.020
_cell_length_c 8.406
_cell_angle_alpha 90.00
_cell_angle_beta 90.00
_cell_angle_gamma 90.00
loop_
_atom_site_label
_atom_site_type_symbol
_atom_site_fract_x
_atom_site_fract_y
_atom_site_fract_z
K1 K 0.000 0.000 0.000
La1 La 0.000 0.000 0.500
As1 As 0.000 0.500 0.250
```

---

[6]
The following is a DFT calculation (GGA-PBE) of CsK12 after structural relaxation.

Output
ΔH_f (0 K)   0.02 eV/atom
VASP energy   -1.062 eV per atom

CIF file:
```
data_CsK12
_symmetry_space_group_name_H-M 'I 4/m m m'
_symmetry_Int_Tables_number 139
_symmetry_space_group_name_Hall '-I 4 2'
_cell_length_a 15.356
_cell_length_b 15.356
_cell_length_c 8.556
_cell_angle_alpha 90.00
_cell_angle_beta 90.00
_cell_angle_gamma 90.00
loop_
_atom_site_label
_atom_site_type_symbol
_atom_site_fract_x
_atom_site_fract_y
_atom_site_fract_z
Cs1 Cs 0.000 0.000 0.000
K1 K 0.000 0.213 0.500
K2 K 0.000 0.357 0.000
K3 K 0.250 0.250 0.250
```

---

[7]
The following is a DFT calculation (GGA-PBE) of Pm8Pr4Sm after structural relaxation.

Output
ΔH_f (0 K)   0.39 eV/atom
VASP energy   -4.365 eV per atom

CIF file:
```
data_Pm8Pr4Sm
_symmetry_space_group_name_H-M 'R -3 m'
_symmetry_Int_Tables_number 166
_symmetry_space_group_name_Hall '-R 3 2"'
_cell_length_a 11.8873
_cell_length_b 11.8873
_cell_length_c 11.7372
_cell_angle_alpha 90.00
_cell_angle_beta 90.00
_cell_angle_gamma 120.00
loop_
_atom_site_label
_atom_site_type_symbol
_atom_site_fract_x
_atom_site_fract_y
_atom_site_fract_z
Pm1 Pm 0.0000 0.0000 0.2418
Pm2 Pm 0.0031 0.5015 0.6659
Pr1 Pr 0.0000 0.0000 0.0000
Pr2 Pr 0.0000 0.5000 0.0000
Sm1 Sm 0.0000 0.0000 0.5000
```

---

[8]
The following is a DFT calculation (GGA-PBE) of CaScCd2 after structural relaxation.

Output
ΔH_f (0 K)   0.01 eV/atom
VASP energy   -2.530 eV per atom

CIF file:
```
data_CaScCd2
_symmetry_space_group_name_H-M 'R 3 m'
_symmetry_Int_Tables_number 160
_symmetry_space_group_name_Hall 'R 3 -2"'
_cell_length_a 3.5450
_cell_length_b 3.5450
_cell_length_c 30.0709
_cell_angle_alpha 90.00
_cell_angle_beta 90.00
_cell_angle_gamma 120.00
loop_
_atom_site_label
_atom_site_type_symbol
_atom_site_fract_x
_atom_site_fract_y
_atom_site_fract_z
Ca1 Ca 0.0000 0.0000 0.0000
Sc1 Sc 0.0000 0.0000 0.2348
Cd1 Cd 0.0000 0.0000 0.4925
Cd2 Cd 0.0000 0.0000 0.7510
```

---

Number 2 is which compound? KAl3Bi